The following is a PBE-GGA calculation of AlV6Mo after structural relaxation, from Alexandria via LeMat-Bulk.

a = 4.2384 Å, b = 5.2729 Å, c = 5.2729 Å
α = 109.01°, β = 90.00°, γ = 90.00°
Closest atoms and distances in Å follow each position.
Positions (direct):
Mo1 0.5000 0.3656 0.6344  8 V 2.62-2.65
V1 0.5000 0.8539 0.6032  5 V 2.54-2.80, 2 Mo 2.63-2.65, 2 Al 2.69
V2 0.5000 0.3968 0.1461  5 V 2.54-2.80, 2 Mo 2.63-2.65, 2 Al 2.69
V3 0.0000 0.6278 0.3722  8 V 2.54-2.66
V4 0.5000 0.8825 0.1175  8 V 2.61-2.67
V5 0.0000 0.1232 0.3737  4 V 2.61-2.66, 2 Mo 2.62, 2 Al 2.62-2.65
V6 0.0000 0.6263 0.8768  4 V 2.61-2.66, 2 Mo 2.62, 2 Al 2.62-2.65
Al1 0.0000 0.1236 0.8764  8 V 2.62-2.69

Calculated values
Volume: 13.93 Å³/atom
Crystal system: orthorhombic
E_tot: -8.772 eV per atom
E_form: -0.111 eV per atom
Space-group type: No. 38
Density of states at the Fermi level: 10.90 states/eV per cell
M_tot: 0.00 μB per formula unit


The following is a PBE-GGA calculation of SmHo12Sc3 after structural relaxation, from Alexandria via LeMat-Bulk.

a = 4.9302 Å, b = 4.9302 Å, c = 19.6648 Å
α = 90.00°, β = 90.00°, γ = 90.00°
Closest atoms and distances in Å follow each position.
Positions (direct):
Ho1 0.5000 0.5000 0.2539  8 Ho 3.45-3.47, 4 Sc 3.49
Ho2 0.5000 0.0000 0.1296  2 Sc 3.46, 8 Ho 3.47-3.55, 2 Sm 3.55
Ho3 0.5000 0.0000 0.6234  8 Ho 3.45-3.49, 4 Sc 3.46
Ho4 0.0000 0.5000 0.1296  2 Sc 3.46, 8 Ho 3.47-3.55, 2 Sm 3.55
Ho5 0.5000 0.0000 0.8704  2 Sc 3.46, 8 Ho 3.47-3.55, 2 Sm 3.55
Ho6 0.0000 0.5000 0.8704  2 Sc 3.46, 8 Ho 3.47-3.55, 2 Sm 3.55
Ho7 0.0000 0.5000 0.3766  8 Ho 3.45-3.49, 4 Sc 3.46
Ho8 0.5000 0.0000 0.3766  8 Ho 3.45-3.49, 4 Sc 3.46
Ho9 0.5000 0.5000 0.7461  8 Ho 3.45-3.47, 4 Sc 3.49
Ho10 0.5000 0.5000 0.0000  4 Sm 3.49, 8 Ho 3.55
Ho11 0.5000 0.5000 0.5000  8 Ho 3.46, 4 Sc 3.49
Ho12 0.0000 0.5000 0.6234  8 Ho 3.45-3.49, 4 Sc 3.46
Sc1 0.0000 0.0000 0.2528  12 Ho 3.46-3.49
Sc2 0.0000 0.0000 0.5000  12 Ho 3.46-3.49
Sc3 0.0000 0.0000 0.7472  12 Ho 3.46-3.49
Sm1 0.0000 0.0000 0.0000  12 Ho 3.49-3.55

Calculated values
Volume: 29.87 Å³/atom
Crystal system: tetragonal
E_tot: -4.878 eV per atom
E_form: 0.038 eV per atom
Space-group type: No. 123
Density of states at the Fermi level: 23.39 states/eV per cell
M_tot: 0.00 μB per formula unit


The following is a PBE-GGA calculation of Pu2GePd3 after structural relaxation, from Alexandria via LeMat-Bulk.

a = 5.5461 Å, b = 5.5461 Å, c = 8.5008 Å
α = 90.00°, β = 90.00°, γ = 120.00°
Closest atoms and distances in Å follow each position.
Positions (direct):
Pd1 0.6627 0.8314 0.2500  2 Ge 2.67, 4 Pd 2.74-2.81
Pd2 0.1686 0.8314 0.2500  2 Ge 2.67, 4 Pd 2.74-2.81
Pd3 0.8314 0.1686 0.7500  2 Ge 2.67, 4 Pd 2.74-2.81
Pd4 0.8314 0.6627 0.7500  2 Ge 2.67, 4 Pd 2.74-2.81
Pd5 0.1686 0.3373 0.2500  2 Ge 2.67, 4 Pd 2.74-2.81
Pd6 0.3373 0.1686 0.7500  2 Ge 2.67, 4 Pd 2.74-2.81
Pu1 0.3333 0.6667 0.5693  4 Pu 3.07-3.41, 9 Pd 3.14-3.17, 3 Ge 3.26
Pu2 0.6667 0.3333 0.0693  4 Pu 3.07-3.41, 9 Pd 3.14-3.17, 3 Ge 3.26
Pu3 0.3333 0.6667 0.9307  4 Pu 3.07-3.41, 9 Pd 3.14-3.17, 3 Ge 3.26
Pu4 0.6667 0.3333 0.4307  4 Pu 3.07-3.41, 9 Pd 3.14-3.17, 3 Ge 3.26
Ge1 0.0000 0.0000 0.0000  6 Pd 2.67
Ge2 0.0000 0.0000 0.5000  6 Pd 2.67

Calculated values
Volume: 18.87 Å³/atom
Crystal system: hexagonal
E_tot: -8.766 eV per atom
E_form: -0.623 eV per atom
Space-group type: No. 194
Density of states at the Fermi level: 35.15 states/eV per cell
M_tot: 10.82 μB per formula unit


The following is a PBE-GGA calculation of Pr2Eu after structural relaxation, from Alexandria via LeMat-Bulk.

a = 3.7670 Å, b = 3.7670 Å, c = 8.4292 Å
α = 102.91°, β = 102.91°, γ = 90.00°
Closest atoms and distances in Å follow each position.
Positions (direct):
Pr1 0.6728 0.6728 0.3456  8 Pr 3.63-3.77, 4 Eu 3.84
Pr2 0.3272 0.3272 0.6544  8 Pr 3.63-3.77, 4 Eu 3.84
Eu1 0.0000 0.0000 0.0000  4 Eu 3.77, 8 Pr 3.84

Calculated values
Volume: 37.83 Å³/atom
Crystal system: tetragonal
E_tot: -6.591 eV per atom
E_form: 0.020 eV per atom
Space-group type: No. 139
Density of states at the Fermi level: 3.13 states/eV per cell
M_tot: 7.41 μB per formula unit


The following is a PBE-GGA calculation of Ba2PtI after structural relaxation, from Alexandria via LeMat-Bulk.

a = 4.6159 Å, b = 4.6159 Å, c = 9.1917 Å
α = 75.46°, β = 75.46°, γ = 60.00°
Closest atoms and distances in Å follow each position.
Positions (direct):
Ba1 0.0665 0.0665 0.8006  3 Pt 3.19
Ba2 0.2673 0.2673 0.1982  3 Pt 3.19
I1 0.4993 0.4993 0.5020  6 Ba 3.74-3.77
Pt1 0.6669 0.6669 0.9992  6 Ba 3.19

Calculated values
Uncorrected formation energy: -1.132 eV per atom
Volume: 40.58 Å³/atom
Crystal system: trigonal
E_tot: -3.991 eV per atom
Space-group type: No. 160
Density of states at the Fermi level: 2.86 states/eV per cell
M_tot: 0.00 μB per formula unit


The following is a PBE-GGA calculation of Sr2W after structural relaxation, from Alexandria via LeMat-Bulk.

a = 8.9460 Å, b = 8.9460 Å, c = 7.2386 Å
α = 70.98°, β = 70.98°, γ = 22.20°
Closest atoms and distances in Å follow each position.
Positions (direct):
Sr1 0.3411 0.3411 0.6301  4 W 3.35-3.36, 4 Sr 3.44-3.74
Sr2 0.6070 0.6070 0.9152  5 Sr 3.44-3.74, 4 W 3.48
Sr3 0.6589 0.6589 0.3699  4 W 3.35-3.36, 4 Sr 3.44-3.74
Sr4 0.3930 0.3930 0.0848  5 Sr 3.44-3.74, 4 W 3.48
W1 0.0007 0.0007 0.6602  1 W 2.33
W2 0.9993 0.9993 0.3398  1 W 2.33

Calculated values
Volume: 34.41 Å³/atom
Crystal system: monoclinic
E_tot: -4.579 eV per atom
E_form: 0.860 eV per atom
Space-group type: No. 12
Density of states at the Fermi level: 11.17 states/eV per cell
M_tot: 0.00 μB per formula unit


The following is a PBE-GGA calculation of GaWN3 after structural relaxation, from Alexandria via LeMat-Bulk.

a = 3.7301 Å, b = 3.7301 Å, c = 3.7301 Å
α = 90.00°, β = 90.00°, γ = 90.00°
Closest atoms and distances in Å follow each position.
Positions (direct):
N1 0.5000 0.0000 0.0000  2 Ga 1.87
N2 0.0000 0.5000 0.0000  2 Ga 1.87
N3 0.0000 0.0000 0.5000  2 Ga 1.87
Ga1 0.0000 0.0000 0.0000  6 N 1.87
W1 0.5000 0.5000 0.5000  12 N 2.64

Calculated values
Uncorrected formation energy: 1.722 eV per atom
Volume: 10.38 Å³/atom
Crystal system: cubic
E_tot: -6.469 eV per atom
Space-group type: No. 221
Density of states at the Fermi level: 4.36 states/eV per cell
M_tot: 0.00 μB per formula unit


The following is a PBE-GGA calculation of Pr6TlIr2 after structural relaxation, from Alexandria via LeMat-Bulk.

a = 8.8893 Å, b = 8.8893 Å, c = 8.8893 Å
α = 104.50°, β = 110.31°, γ = 113.73°
Closest atoms and distances in Å follow each position.
Positions (direct):
Pr1 0.5274 0.7067 0.8207  3 Ir 3.07-3.26, 1 Tl 3.38
Pr2 0.7962 0.2337 0.0299  1 Ir 2.87
Pr3 0.8860 0.7067 0.1793  3 Ir 3.07-3.26, 1 Tl 3.38
Pr4 0.2038 0.7663 0.9701  1 Ir 2.87
Pr5 0.6904 0.0222 0.3318  3 Ir 2.85-3.10
Pr6 0.6904 0.3586 0.6682  3 Ir 2.85-3.10
Pr7 0.3096 0.9778 0.6682  3 Ir 2.85-3.10
Pr8 0.3096 0.6414 0.3318  3 Ir 2.85-3.10
Pr9 0.7962 0.7663 0.5625  1 Ir 2.87
Pr10 0.1140 0.2933 0.8207  3 Ir 3.07-3.26, 1 Tl 3.38
Pr11 0.4726 0.2933 0.1793  3 Ir 3.07-3.26, 1 Tl 3.38
Pr12 0.2038 0.2337 0.4375  1 Ir 2.87
Ir1 0.5000 0.6327 0.1327  6 Pr 2.85-3.07, 1 Ir 2.89
Ir2 0.3348 0.0000 0.3348  6 Pr 2.87-3.10
Ir3 0.6652 0.0000 0.6652  6 Pr 2.87-3.10
Ir4 0.5000 0.3673 0.8673  6 Pr 2.85-3.07, 1 Ir 2.89
Tl1 0.0000 0.0000 0.0000  8 Pr 3.28-3.38, 2 Ir 3.40
Tl2 0.0000 0.5000 0.5000  12 Pr 3.52-3.83

Calculated values
Volume: 29.84 Å³/atom
Crystal system: orthorhombic
E_tot: -5.865 eV per atom
E_form: -0.446 eV per atom
Space-group type: No. 71
Density of states at the Fermi level: 15.32 states/eV per cell
M_tot: 0.00 μB per formula unit


Look up the E_tot of the fourth one. -6.591 eV per atom


Which of these has the highest density of states at the Fermi level? Pu2GePd3


What did the second record say?
The following is a PBE-GGA calculation of SmHo12Sc3 after structural relaxation, from Alexandria via LeMat-Bulk.

a = 4.9302 Å, b = 4.9302 Å, c = 19.6648 Å
α = 90.00°, β = 90.00°, γ = 90.00°
Closest atoms and distances in Å follow each position.
Positions (direct):
Ho1 0.5000 0.5000 0.2539  8 Ho 3.45-3.47, 4 Sc 3.49
Ho2 0.5000 0.0000 0.1296  2 Sc 3.46, 8 Ho 3.47-3.55, 2 Sm 3.55
Ho3 0.5000 0.0000 0.6234  8 Ho 3.45-3.49, 4 Sc 3.46
Ho4 0.0000 0.5000 0.1296  2 Sc 3.46, 8 Ho 3.47-3.55, 2 Sm 3.55
Ho5 0.5000 0.0000 0.8704  2 Sc 3.46, 8 Ho 3.47-3.55, 2 Sm 3.55
Ho6 0.0000 0.5000 0.8704  2 Sc 3.46, 8 Ho 3.47-3.55, 2 Sm 3.55
Ho7 0.0000 0.5000 0.3766  8 Ho 3.45-3.49, 4 Sc 3.46
Ho8 0.5000 0.0000 0.3766  8 Ho 3.45-3.49, 4 Sc 3.46
Ho9 0.5000 0.5000 0.7461  8 Ho 3.45-3.47, 4 Sc 3.49
Ho10 0.5000 0.5000 0.0000  4 Sm 3.49, 8 Ho 3.55
Ho11 0.5000 0.5000 0.5000  8 Ho 3.46, 4 Sc 3.49
Ho12 0.0000 0.5000 0.6234  8 Ho 3.45-3.49, 4 Sc 3.46
Sc1 0.0000 0.0000 0.2528  12 Ho 3.46-3.49
Sc2 0.0000 0.0000 0.5000  12 Ho 3.46-3.49
Sc3 0.0000 0.0000 0.7472  12 Ho 3.46-3.49
Sm1 0.0000 0.0000 0.0000  12 Ho 3.49-3.55

Calculated values
Volume: 29.87 Å³/atom
Crystal system: tetragonal
E_tot: -4.878 eV per atom
E_form: 0.038 eV per atom
Space-group type: No. 123
Density of states at the Fermi level: 23.39 states/eV per cell
M_tot: 0.00 μB per formula unit